Entry 1:
# Tb3Dy3In | Alexandria via LeMat-Bulk | GGA-PBE | optimized geometry
data_Tb3Dy3In
_chemical_formula_sum 'Tb6 Dy6 In2'
_space_group_name_H-M_alt 'P 1 21/m 1'
_space_group_IT_number 11
_cell_length_a 9.369
_cell_length_b 5.563
_cell_length_c 9.373
_cell_angle_alpha 90.00
_cell_angle_beta 119.97
_cell_angle_gamma 90.00
loop_
_space_group_symop_operation_xyz
'x,y,z'
'-x,-y,-z'
'-x,y+1/2,-z'
'x,-y+1/2,z'
loop_
_atom_site_label
_atom_site_fract_x
_atom_site_fract_y
_atom_site_fract_z
Tb1 0.064 0.250 0.244
Tb2 0.180 0.250 0.936
Tb3 0.244 0.750 0.180
Dy1 0.105 0.750 0.481
Dy2 0.376 0.750 0.894
Dy3 0.481 0.250 0.376
In1 0.333 0.250 0.666
# Crystal system: monoclinic
# Distance to the lowest polymorph of the same formula (eV/atom): 0.000
# Calculated volume (Å³ per cell): 423.2
# Raw total energy (eV per atom): -4.45
# Formation energy from the elements (eV/atom): -0.11
# Magnetization (μB per cell): 0.01

---

Entry 2:
# Ac2YTe2O2 | Alexandria via LeMat-Bulk | GGA-PBE | optimized geometry
data_Ac2YTe2O2
_chemical_formula_sum 'Ac4 Y2 Te4 O4'
_space_group_name_H-M_alt 'I 4/m m m'
_space_group_IT_number 139
_space_group_name_Hall '-I 4 2'
_cell_length_a 4.522
_cell_length_b 4.522
_cell_length_c 17.202
_cell_angle_alpha 90.00
_cell_angle_beta 90.00
_cell_angle_gamma 90.00
loop_
_atom_site_label
_atom_site_fract_x
_atom_site_fract_y
_atom_site_fract_z
Ac1 0.000 0.000 0.114
Y1 0.000 0.000 0.500
Te1 0.000 0.000 0.320
O1 0.000 0.500 0.000
# Crystal system: tetragonal
# Calculated volume (Å³ per cell): 351.7
# Raw total energy (eV per atom): -6.68
# Formation energy without anion corrections (kJ/mol of formula units): -1534
# Magnetization (μB per cell): 0.00

---

Entry 3:
# La2B4Ir3 | Alexandria via LeMat-Bulk | GGA-PBE | optimized geometry
data_La2B4Ir3
_chemical_formula_sum 'La8 B16 Ir12'
_space_group_name_H-M_alt 'F m m m'
_space_group_IT_number 69
_space_group_name_Hall '-F 2 2'
_cell_length_a 5.600
_cell_length_b 9.404
_cell_length_c 10.979
_cell_angle_alpha 90.00
_cell_angle_beta 90.00
_cell_angle_gamma 90.00
loop_
_atom_site_label
_atom_site_fract_x
_atom_site_fract_y
_atom_site_fract_z
La1 0.000 0.000 0.156
B1 0.000 0.176 0.366
Ir1 0.000 0.000 0.500
Ir2 0.250 0.250 0.000
# Crystal system: orthorhombic
# Calculated volume (Å³ per cell): 578.1
# Raw total energy (eV per atom): -7.13
# Formation energy from the elements (eV/atom): -0.12
# Magnetization (μB per cell): 0.00

---

Entry 4:
# BePbSe2 | Alexandria via LeMat-Bulk | GGA-PBE | optimized geometry
data_BePbSe2
_chemical_formula_sum 'Be2 Pb2 Se4'
_space_group_name_H-M_alt 'C m m m'
_space_group_IT_number 65
_space_group_name_Hall '-C 2 2'
_cell_length_a 3.582
_cell_length_b 7.725
_cell_length_c 7.711
_cell_angle_alpha 90.00
_cell_angle_beta 90.00
_cell_angle_gamma 90.00
loop_
_atom_site_label
_atom_site_fract_x
_atom_site_fract_y
_atom_site_fract_z
Be1 0.000 0.000 0.000
Pb1 0.000 0.000 0.500
Se1 0.000 0.500 0.193
# Crystal system: orthorhombic
# Distance to the lowest polymorph of the same formula (eV/atom): 0.423
# Calculated volume (Å³ per cell): 213.4
# Raw total energy (eV per atom): -3.70
# Formation energy without anion corrections (kJ/mol of formula units): -39
# Magnetization (μB per cell): 0.00

---

Entry 5:
# MgAu2Br | Alexandria via LeMat-Bulk | GGA-PBE | optimized geometry
data_MgAu2Br
_chemical_formula_sum 'Mg2 Au4 Br2'
_space_group_name_H-M_alt 'I m m 2'
_space_group_IT_number 44
_cell_length_a 3.170
_cell_length_b 6.352
_cell_length_c 9.458
_cell_angle_alpha 90.00
_cell_angle_beta 90.00
_cell_angle_gamma 90.00
loop_
_space_group_symop_operation_xyz
'x,y,z'
'-x,-y,z'
'-x,y,z'
'x,-y,z'
'x+1/2,y+1/2,z+1/2'
'-x+1/2,-y+1/2,z+1/2'
'-x+1/2,y+1/2,z+1/2'
'x+1/2,-y+1/2,z+1/2'
loop_
_atom_site_label
_atom_site_fract_x
_atom_site_fract_y
_atom_site_fract_z
Mg1 0.000 0.000 0.000
Au1 0.000 0.000 0.477
Au2 0.000 0.500 0.731
Br1 0.000 0.500 0.290
# Crystal system: orthorhombic
# Distance to the lowest polymorph of the same formula (eV/atom): 0.365
# Calculated volume (Å³ per cell): 190.5
# Raw total energy (eV per atom): -2.62
# Formation energy without anion corrections (kJ/mol of formula units): -62
# Magnetization (μB per cell): 0.00

---

Entry 6:
# RbAg5F8 | Alexandria via LeMat-Bulk | GGA-PBE | optimized geometry
data_RbAg5F8
_chemical_formula_sum 'Rb2 Ag10 F16'
_space_group_name_H-M_alt 'C 1 m 1'
_space_group_IT_number 8
_cell_length_a 16.075
_cell_length_b 3.593
_cell_length_c 8.589
_cell_angle_alpha 90.00
_cell_angle_beta 109.30
_cell_angle_gamma 90.00
loop_
_space_group_symop_operation_xyz
'x,y,z'
'x,-y,z'
'x+1/2,y+1/2,z'
'x+1/2,-y+1/2,z'
loop_
_atom_site_label
_atom_site_fract_x
_atom_site_fract_y
_atom_site_fract_z
Rb1 0.000 0.000 0.000
Ag1 0.000 0.500 0.499
Ag2 0.150 0.000 0.428
Ag3 0.198 0.000 0.823
Ag4 0.302 0.500 0.175
Ag5 0.351 0.500 0.572
F1 0.058 0.000 0.670
F2 0.089 0.500 0.273
F3 0.169 0.500 0.993
F4 0.202 0.500 0.616
F5 0.298 0.000 0.383
F6 0.331 0.000 0.006
F7 0.411 0.000 0.727
F8 0.442 0.500 0.327
# Crystal system: monoclinic
# Calculated volume (Å³ per cell): 468.2
# Raw total energy (eV per atom): -3.45
# Formation energy without anion corrections (kJ/mol of formula units): -1744
# Magnetization (μB per cell): 4.07